Compound: ScSiNi
Source: OQMD
Functional: GGA-PBE
Structure: optimized geometry

Geometry as POSCAR:
```
ScSiNi
1.0
-3.011 -1.252 -2.649
-0.579 -3.201 2.171
-7.368 5.309 5.865
Sc Si Ni
4 4 4
Direct
0.245 0.250 0.658
0.745 0.250 0.842
0.755 0.750 0.342
0.255 0.750 0.158
0.750 0.750 0.626
0.750 0.250 0.126
0.250 0.250 0.374
0.250 0.750 0.874
0.758 0.750 0.012
0.242 0.250 0.988
0.742 0.250 0.512
0.258 0.750 0.488
```

Output
E (eV per formula unit): -19.3
V (A^3/atom): 14.80


Compound: ScSiNi2
Source: OQMD
Functional: GGA-PBE
Structure: optimized geometry

Geometry as POSCAR:
```
ScSiNi2
1.0
2.265 -3.539 -0.511
1.734 -1.906 3.357
-1.531 -3.706 1.354
Ni Sc Si
2 1 1
Direct
0.750 0.750 0.750
0.000 0.000 0.000
0.250 0.250 0.250
0.500 0.500 0.500
```

Output
E (eV per formula unit): -24.4
V (A^3/atom): 13.40


Compound: ScSiNi
Source: OQMD
Functional: GGA-PBE
Structure: optimized geometry

Geometry as POSCAR:
```
ScSiNi
1.0
-2.216 -3.372 -0.354
3.696 0.177 -1.647
2.495 -2.202 5.361
Ni Si Sc
2 2 2
Direct
0.333 0.667 0.750
0.667 0.333 0.250
0.333 0.667 0.250
0.667 0.333 0.750
0.000 0.000 0.000
0.000 0.000 0.500
```

Output
E (eV per formula unit): -19.8
V (A^3/atom): 14.94


Compound: ScSi2Ni
Source: OQMD
Functional: GGA-PBE
Structure: optimized geometry

Geometry as POSCAR:
```
ScSi2Ni
1.0
-2.611 1.681 3.057
1.670 2.486 3.165
-0.806 4.281 0.062
Ni Sc Si
1 1 2
Direct
0.750 0.750 0.750
0.500 0.500 0.500
0.250 0.250 0.250
0.000 0.000 0.000
```

Output
E (eV per formula unit): -23.5
V (A^3/atom): 14.62


Compound: Sc6SiNi2
Source: OQMD
Functional: GGA-PBE
Structure: optimized geometry

Geometry as POSCAR:
```
Sc6SiNi2
1.0
7.166 0.000 0.000
-3.583 6.206 0.000
0.000 0.000 3.897
Sc Ni Si
6 2 1
Direct
0.000 0.270 0.000
0.730 0.730 0.000
0.000 0.600 0.500
0.270 0.000 0.000
0.400 0.400 0.500
0.600 0.000 0.500
0.667 0.333 0.000
0.333 0.667 0.000
0.000 0.000 0.500
```

Output
E (eV per formula unit): -57.9
V (A^3/atom): 19.26


Compound: ScSiNi
Source: OQMD
Functional: GGA-PBE
Structure: optimized geometry

Geometry as POSCAR:
```
ScSiNi
1.0
-3.920 4.577 2.185
0.267 -1.532 3.690
5.480 4.074 1.295
Si Ni Sc
4 4 4
Direct
0.700 0.250 0.907
0.200 0.250 0.593
0.800 0.750 0.407
0.300 0.750 0.093
0.815 0.250 0.580
0.185 0.750 0.420
0.685 0.750 0.080
0.315 0.250 0.920
0.994 0.750 0.798
0.494 0.750 0.702
0.006 0.250 0.202
0.506 0.250 0.298
```

Output
E (eV per formula unit): -20.0
V (A^3/atom): 14.87


Compound: ScSi2Ni2
Source: OQMD
Functional: GGA-PBE
Structure: optimized geometry

Geometry as POSCAR:
```
ScSi2Ni2
1.0
2.689 -2.689 0.000
2.689 2.689 0.000
-2.689 0.000 4.800
Ni Sc Si
2 1 2
Direct
0.250 0.750 0.500
0.750 0.250 0.500
0.000 0.000 0.000
0.621 0.621 0.241
0.379 0.379 0.759
```

Output
E (eV per formula unit): -32.3
V (A^3/atom): 13.89


Compound: TbSc2Si4Ni4
Source: OQMD
Functional: GGA-PBE
Structure: optimized geometry

Geometry as POSCAR:
```
TbSc2Si4Ni4
1.0
-1.939 3.291 6.402
1.939 -3.291 6.402
1.939 3.291 -6.402
Si Ni Tb Sc
4 4 1 2
Direct
0.682 0.500 0.182
0.318 0.500 0.818
0.224 0.224 0.000
0.776 0.776 0.000
0.020 0.322 0.697
0.625 0.322 0.303
0.375 0.678 0.697
0.980 0.678 0.303
0.000 0.000 0.000
0.626 0.126 0.500
0.374 0.874 0.500
```

Output
E (eV per formula unit): -70.7
V (A^3/atom): 14.86


Compound: ScSiTcNi
Source: OQMD
Functional: GGA-PBE
Structure: optimized geometry

Geometry as POSCAR:
```
ScSiTcNi
1.0
0.000 3.082 3.082
3.082 0.000 3.082
3.082 3.082 0.000
Si Sc Tc Ni
1 1 1 1
Direct
0.000 0.000 0.000
0.250 0.250 0.250
0.500 0.500 0.500
0.750 0.750 0.750
```

Output
ΔE to the lowest computed polymorph (kJ per mole of atoms): 51.7
V (A^3/atom): 14.64


Compound: ScSiTcNi
Source: OQMD
Functional: GGA-PBE
Structure: optimized geometry

Geometry as POSCAR:
```
ScSiTcNi
1.0
0.000 3.025 3.025
3.025 0.000 3.025
3.025 3.025 0.000
Si Sc Tc Ni
1 1 1 1
Direct
0.000 0.000 0.000
0.500 0.500 0.500
0.250 0.250 0.250
0.750 0.750 0.750
```

Output
ΔE to the lowest computed polymorph (kJ per mole of atoms): 0.0
V (A^3/atom): 13.84


Compound: TmSc2Si4Ni4
Source: OQMD
Functional: GGA-PBE
Structure: optimized geometry

Geometry as POSCAR:
```
TmSc2Si4Ni4
1.0
-1.935 3.271 6.372
1.935 -3.271 6.372
1.935 3.271 -6.372
Ni Sc Tm Si
4 2 1 4
Direct
0.627 0.323 0.304
0.020 0.323 0.696
0.980 0.677 0.304
0.373 0.677 0.696
0.374 0.874 0.500
0.626 0.126 0.500
0.000 0.000 0.000
0.684 0.500 0.184
0.223 0.223 0.000
0.316 0.500 0.816
0.777 0.777 0.000
```

Output
E (eV per formula unit): -70.6
V (A^3/atom): 14.66


Compound: TmScSi4Ni2
Source: OQMD
Functional: GGA-PBE
Structure: optimized geometry

Geometry as POSCAR:
```
TmScSi4Ni2
1.0
-1.730 3.270 1.168
-6.715 -4.473 2.576
-4.465 -4.397 5.697
Si Ni Sc Tm
4 2 1 1
Direct
0.500 0.251 0.251
0.500 0.959 0.959
0.000 0.752 0.752
0.000 0.038 0.038
0.500 0.826 0.826
0.000 0.174 0.174
0.000 0.396 0.396
0.500 0.604 0.604
```

Output
E (eV per formula unit): -49.8
V (A^3/atom): 15.39